[1]
This record from Alexandria describes an optimized crystal structure of RbBe. The functional is GGA-PBE.

```
16
Lattice="12.349 0.000 0.000 0.000 12.349 0.000 0.000 0.000 4.168" Properties=species:S:1:pos:R:3 pbc="T T T"
Rb 3.084 0.000 0.000
Rb 4.068 4.068 2.084
Be 11.301 6.174 2.084
Be 1.098 6.174 0.000
Be 1.048 6.174 2.084
Rb 8.281 8.281 2.084
Be 11.251 6.174 0.000
Rb 8.281 4.068 2.084
Be 6.174 11.301 2.084
Rb 0.000 3.084 0.000
Rb 0.000 9.265 0.000
Rb 4.068 8.281 2.084
Be 6.174 1.098 0.000
Rb 9.265 0.000 0.000
Be 6.174 1.048 2.084
Be 6.174 11.251 0.000
```

Properties
- ΔH_f (0 K) (meV/atom) = 623
- size of the total moment (μB/cell) = 0.1
- symmetry = P4/mmm
- Fermi-level density of states (states/eV per cell) = 12.413

---

[2]
This record from Alexandria describes an optimized crystal structure of RbBe. The functional is GGA-PBE.

```
12
Lattice="4.120 0.000 0.000 0.000 7.179 0.000 0.000 0.000 15.384" Properties=species:S:1:pos:R:3 pbc="T T T"
Rb 0.000 5.526 3.417
Be 2.060 6.926 0.960
Rb 0.000 3.986 7.692
Rb 2.060 1.653 11.110
Be 0.000 6.936 0.000
Rb 2.060 1.653 4.275
Rb 0.000 5.526 11.967
Rb 2.060 3.193 0.000
Be 2.060 6.926 14.425
Be 2.060 0.242 7.692
Be 0.000 0.253 6.732
Be 0.000 0.253 8.652
```

Properties
- ΔH_f (0 K) (meV/atom) = 679
- size of the total moment (μB/cell) = 0.0
- symmetry = Pmmn
- Fermi-level density of states (states/eV per cell) = 6.020

---

[3]
This record from Alexandria describes an optimized crystal structure of RbBe. The functional is GGA-PBE.

```
4
Lattice="4.240 0.025 0.019 2.054 6.536 0.014 2.111 -0.160 6.534" Properties=species:S:1:pos:R:3 pbc="T T T"
Rb 4.027 2.494 0.906
Be 4.009 5.836 1.000
Rb 6.153 5.670 4.192
Be 6.131 5.694 0.857
```

Properties
- ΔH_f (0 K) (meV/atom) = 737
- size of the total moment (μB/cell) = 0.0
- symmetry = P1
- Fermi-level density of states (states/eV per cell) = 3.433

---

The evaluated energy above the most stable polymorph in this dataset for the records listed, in turn: 0, 56, 114 meV per atom.